(A)
Below is GeHAu after structural relaxation, with properties calculated at the PBE-GGA level.

**Crystal system**: orthorhombic
**Size of the total moment**: 0.00 μB per cell
**SG**: No. 63
**Fermi-level density of states**: 0.197 states/eV/atom

a b c (Å): 4.310 3.190 6.906
angles (deg): 103.35 89.97 90.00
Element x y z (fractional)
Au: 0.750 0.800 0.599
Au: 0.250 0.200 0.401
H: 0.250 0.457 0.915
H: 0.750 0.543 0.085
Ge: 0.250 0.899 0.798
Ge: 0.750 0.101 0.202

(B)
Below is GeHAu after structural relaxation, with properties calculated at the PBE-GGA level.

**Crystal system**: tetragonal
**Size of the total moment**: 0.00 μB per cell
**SG**: No. 107
**Fermi-level density of states**: 0.309 states/eV/atom

a b c (Å): 3.555 3.555 4.537
angles (deg): 113.06 113.06 90.00
Element x y z (fractional)
Ge: 0.568 0.568 0.137
Au: 0.935 0.935 0.871
H: 0.346 0.346 0.693

(C)
Below is GeHAu after structural relaxation, with properties calculated at the PBE-GGA level.

**Crystal system**: trigonal
**Size of the total moment**: 0.00 μB per cell
**SG**: No. 156
**Fermi-level density of states**: 0.354 states/eV/atom

a b c (Å): 5.335 3.079 3.079
angles (deg): 120.00 90.00 90.00
Element x y z (fractional)
Ge: 0.913 0.000 0.000
Au: 0.314 0.333 0.667
H: 0.773 0.667 0.333

The computed energies, referenced to the most stable structure and given in meV per atom, are (A) 0; (B) 179; (C) 205.

(A)
Below is GeHPbAu2 after structural relaxation, with properties calculated at the PBE-GGA level.

**Crystal system**: tetragonal
**Size of the total moment**: 0.00 μB per cell
**SG**: No. 123
**Fermi-level density of states**: 0.502 states/eV/atom

a b c (Å): 5.185 5.185 3.581
angles (deg): 90.00 90.00 90.00
Element x y z (fractional)
Au: 0.000 0.500 0.000
Au: 0.500 0.000 0.000
Pb: 0.500 0.500 0.500
H: 0.000 0.000 0.500
Ge: 0.000 0.000 0.000

(B)
Below is GeHPbAu2 after structural relaxation, with properties calculated at the PBE-GGA level.

**Crystal system**: tetragonal
**Size of the total moment**: 0.77 μB per cell
**SG**: No. 123
**Fermi-level density of states**: 0.397 states/eV/atom

a b c (Å): 5.388 5.522 5.388
angles (deg): 90.00 90.00 90.00
Each line ends with the local moment (μB).
Element x y z (fractional)
Ge: 0.000 0.500 0.000  -0.06
Pb: 0.000 0.000 0.000  0.01
H: 0.500 0.500 0.500  0.35
Au: 0.000 0.000 0.500  0.02
Au: 0.500 0.000 0.000  0.02

The computed energies, referenced to the most stable structure and given in meV per atom, are (A) 0; (B) 1029.

(A)
Below is ZnGeHAuSe after structural relaxation, with properties calculated at the PBE-GGA level.

**Crystal system**: triclinic
**Size of the total moment**: 0.00 μB per cell
**SG**: No. 1
**Fermi-level density of states**: 0.116 states/eV/atom

a b c (Å): 4.533 5.033 5.574
angles (deg): 98.69 109.85 108.79
Element x y z (fractional)
H: 0.378 0.976 0.597
Ge: 0.348 0.148 0.362
Zn: 0.349 0.681 0.749
Au: 0.876 0.319 0.288
Se: 0.940 0.682 0.972

(B)
Below is ZnGeHAuSe after structural relaxation, with properties calculated at the PBE-GGA level.

**Crystal system**: monoclinic
**Size of the total moment**: 0.00 μB per cell
**SG**: No. 8
**Fermi-level density of states**: 0.171 states/eV/atom

a b c (Å): 4.380 5.082 5.087
angles (deg): 58.55 85.52 85.47
Element x y z (fractional)
Ge: 0.746 0.734 0.508
H: 0.087 0.630 0.404
Au: 0.637 0.207 0.981
Se: 0.030 0.963 0.738
Zn: 0.252 0.433 0.209

(C)
Below is ZnGeHAuSe after structural relaxation, with properties calculated at the PBE-GGA level.

**Crystal system**: triclinic
**Size of the total moment**: 0.00 μB per cell
**SG**: No. 1
**Fermi-level density of states**: 0.205 states/eV/atom

a b c (Å): 4.075 4.917 4.930
angles (deg): 70.85 83.30 85.30
Element x y z (fractional)
Ge: 0.023 0.014 0.343
Zn: 0.584 0.840 0.072
H: 0.357 0.186 0.445
Se: 0.012 0.585 0.800
Au: 0.615 0.342 0.588

(D)
Below is ZnGeHAuSe after structural relaxation, with properties calculated at the PBE-GGA level.

**Crystal system**: monoclinic
**Size of the total moment**: 0.00 μB per cell
**SG**: No. 8
**Fermi-level density of states**: 0.171 states/eV/atom

a b c (Å): 8.224 3.952 7.118
angles (deg): 90.00 107.46 90.00
Element x y z (fractional)
Se: 0.071 0.500 0.757
Se: 0.071 0.000 0.257
Au: 0.627 0.500 0.274
Au: 0.627 0.000 0.774
Ge: 0.751 0.500 0.644
Ge: 0.751 0.000 0.144
H: 0.397 0.500 0.194
H: 0.397 0.000 0.694
Zn: 0.186 0.000 0.625
Zn: 0.186 0.500 0.125

The computed energies, referenced to the most stable structure and given in meV per atom, are (A) 90; (B) 113; (C) 150; (D) 0.

(A)
Below is HgGeAu4 after structural relaxation, with properties calculated at the PBE-GGA level.

**Crystal system**: triclinic
**Size of the total moment**: 0.00 μB per cell
**SG**: No. 2
**Fermi-level density of states**: 0.230 states/eV/atom

a b c (Å): 5.059 5.055 9.663
angles (deg): 106.20 106.20 86.76
Element x y z (fractional)
Au: 0.631 0.194 0.825
Au: 0.605 0.603 0.660
Au: 0.369 0.806 0.175
Au: 0.196 0.633 0.825
Au: 0.804 0.367 0.175
Au: 0.057 0.059 0.660
Au: 0.943 0.941 0.340
Au: 0.395 0.397 0.340
Hg: 0.221 0.223 0.000
Hg: 0.779 0.777 0.000
Ge: 0.500 0.000 0.500
Ge: 0.000 0.500 0.500

(B)
Below is HgGeAu4 after structural relaxation, with properties calculated at the PBE-GGA level.

**Crystal system**: cubic
**Size of the total moment**: 0.00 μB per cell
**SG**: No. 216
**Fermi-level density of states**: 0.486 states/eV/atom

a b c (Å): 5.575 5.575 5.575
angles (deg): 60.00 60.00 60.00
Element x y z (fractional)
Ge: 0.000 0.000 0.000
Au: 0.125 0.625 0.625
Au: 0.625 0.125 0.625
Au: 0.625 0.625 0.125
Au: 0.625 0.625 0.625
Hg: 0.250 0.250 0.250

The computed energies, referenced to the most stable structure and given in meV per atom, are (A) 0; (B) 125.

(A)
Below is Hg2GeAu2 after structural relaxation, with properties calculated at the PBE-GGA level.

**Crystal system**: tetragonal
**Size of the total moment**: 0.00 μB per cell
**SG**: No. 139
**Fermi-level density of states**: 0.435 states/eV/atom

a b c (Å): 3.873 3.873 7.998
angles (deg): 75.99 75.99 90.00
Element x y z (fractional)
Hg: 0.401 0.401 0.198
Hg: 0.599 0.599 0.802
Ge: 0.000 0.000 0.000
Au: 0.250 0.750 0.500
Au: 0.750 0.250 0.500

(B)
Below is Hg2GeAu2 after structural relaxation, with properties calculated at the PBE-GGA level.

**Crystal system**: tetragonal
**Size of the total moment**: 0.00 μB per cell
**SG**: No. 139
**Fermi-level density of states**: 0.260 states/eV/atom

a b c (Å): 3.996 3.996 7.589
angles (deg): 74.74 74.74 90.00
Element x y z (fractional)
Ge: 0.000 0.000 0.000
Hg: 0.250 0.750 0.500
Hg: 0.750 0.250 0.500
Au: 0.406 0.406 0.189
Au: 0.594 0.594 0.811

(C)
Below is Hg2GeAu2 after structural relaxation, with properties calculated at the PBE-GGA level.

**Crystal system**: tetragonal
**Size of the total moment**: 0.00 μB per cell
**SG**: No. 127
**Fermi-level density of states**: 0.392 states/eV/atom

a b c (Å): 7.148 7.148 4.249
angles (deg): 90.00 90.00 90.00
Element x y z (fractional)
Ge: 0.000 0.000 0.000
Ge: 0.500 0.500 0.000
Hg: 0.841 0.341 0.500
Hg: 0.659 0.841 0.500
Hg: 0.341 0.159 0.500
Hg: 0.159 0.659 0.500
Au: 0.146 0.354 0.000
Au: 0.354 0.854 0.000
Au: 0.646 0.146 0.000
Au: 0.854 0.646 0.000

The computed energies, referenced to the most stable structure and given in meV per atom, are (A) 47; (B) 64; (C) 0.

(A)
Below is Hg2GeAu2 after structural relaxation, with properties calculated at the PBE-GGA level.

**Crystal system**: tetragonal
**Size of the total moment**: 0.00 μB per cell
**SG**: No. 127
**Fermi-level density of states**: 0.395 states/eV/atom

a b c (Å): 8.451 8.451 3.012
angles (deg): 90.00 90.00 90.00
Element x y z (fractional)
Hg: 0.866 0.634 0.000
Hg: 0.634 0.134 0.000
Hg: 0.366 0.866 0.000
Hg: 0.134 0.366 0.000
Ge: 0.500 0.500 0.000
Ge: 0.000 0.000 0.000
Au: 0.834 0.334 0.500
Au: 0.166 0.666 0.500
Au: 0.334 0.166 0.500
Au: 0.666 0.834 0.500

(B)
Below is Hg2GeAu2 after structural relaxation, with properties calculated at the PBE-GGA level.

**Crystal system**: orthorhombic
**Size of the total moment**: 0.00 μB per cell
**SG**: No. 36
**Fermi-level density of states**: 0.268 states/eV/atom

a b c (Å): 3.256 7.600 9.090
angles (deg): 90.00 90.00 102.37
Element x y z (fractional)
Au: 0.227 0.454 0.179
Au: 0.773 0.546 0.679
Au: 0.057 0.113 0.947
Au: 0.943 0.887 0.447
Hg: 0.422 0.843 0.797
Hg: 0.896 0.791 0.122
Hg: 0.578 0.157 0.297
Hg: 0.104 0.209 0.622
Ge: 0.304 0.608 0.441
Ge: 0.696 0.392 0.941

The computed energies, referenced to the most stable structure and given in meV per atom, are (A) 161; (B) 0.